(1)
Rb3Ga5Hg12 | PBE | optimized geometry

Calculated values
energy of formation from the pure elements = -0.007 eV per atom
SG = Ia-3d, No. 230
V = 36.284 Å³/atom

```
Rb3Ga5Hg12
1.0
15.565 0.000 0.000
-5.188 14.675 0.000
-5.188 -7.337 12.709
Rb Ga Hg
12 20 48
Direct
0.750 0.375 0.125
0.875 0.750 0.125
0.375 0.750 0.625
0.250 0.125 0.375
0.875 0.125 0.250
0.375 0.625 0.250
0.625 0.375 0.750
0.125 0.875 0.750
0.750 0.875 0.625
0.625 0.250 0.375
0.125 0.250 0.875
0.250 0.625 0.875
0.125 0.375 0.250
0.000 0.500 0.000
0.000 0.000 0.000
0.375 0.250 0.125
0.500 0.000 0.500
0.500 0.500 0.000
0.125 0.750 0.375
0.750 0.125 0.875
0.750 0.625 0.375
0.375 0.125 0.750
0.625 0.875 0.250
0.500 0.500 0.500
0.500 0.000 0.000
0.000 0.000 0.500
0.250 0.375 0.625
0.250 0.875 0.125
0.000 0.500 0.500
0.875 0.250 0.625
0.625 0.750 0.875
0.875 0.625 0.750
0.680 0.052 0.986
0.306 0.486 0.434
0.014 0.448 0.320
0.486 0.180 0.052
0.628 0.680 0.694
0.014 0.566 0.194
0.306 0.820 0.372
0.066 0.872 0.052
0.566 0.014 0.694
0.680 0.628 0.194
0.820 0.514 0.448
0.806 0.934 0.986
0.052 0.680 0.486
0.448 0.434 0.128
0.128 0.934 0.448
0.372 0.052 0.566
0.128 0.194 0.180
0.514 0.694 0.066
0.806 0.872 0.320
0.052 0.372 0.066
0.448 0.014 0.820
0.566 0.552 0.372
0.934 0.806 0.486
0.820 0.306 0.872
0.434 0.448 0.628
0.066 0.194 0.514
0.180 0.694 0.128
0.194 0.128 0.680
0.552 0.986 0.180
0.948 0.628 0.934
0.486 0.306 0.934
0.628 0.948 0.434
0.872 0.806 0.820
0.872 0.066 0.552
0.948 0.320 0.514
0.194 0.066 0.014
0.552 0.566 0.872
0.434 0.986 0.306
0.320 0.372 0.806
0.180 0.486 0.552
0.934 0.128 0.948
0.694 0.180 0.628
0.514 0.820 0.948
0.986 0.434 0.806
0.372 0.320 0.306
0.986 0.552 0.680
0.694 0.514 0.566
0.320 0.948 0.014
```

***

(2)
RbGaHg2 | PBE | optimized geometry

Calculated values
energy of formation from the pure elements = -0.100 eV per atom
SG = R3m, No. 160
V = 35.088 Å³/atom

```
RbGaHg2
1.0
-2.995 3.447 1.812
-3.074 -1.100 3.670
2.683 2.525 6.291
Rb Ga Hg
1 1 2
Direct
0.494 0.494 0.518
0.676 0.676 0.971
0.039 0.039 0.884
0.291 0.291 0.127
```

***

(3)
RbGaHg | PBE | optimized geometry

Calculated values
energy of formation from the pure elements = -0.036 eV per atom
SG = I4mm, No. 107
V = 32.196 Å³/atom
polymorph energy (0 for the lowest one) = 0.079 eV/atom

```
RbGaHg
1.0
3.888 0.000 0.000
0.000 3.888 0.000
-1.944 -1.944 6.389
Ga Hg Rb
1 1 1
Direct
0.710 0.710 0.420
0.290 0.290 0.579
0.000 0.000 0.001
```

***

(4)
RbGaHg14 | PBE | optimized geometry

Calculated values
energy of formation from the pure elements = -0.028 eV per atom
SG = Amm2, No. 38
V = 29.888 Å³/atom

```
RbGaHg14
1.0
-1.227 5.652 -2.824
2.639 -5.783 -5.386
-9.142 -2.748 -1.528
Rb Ga Hg
1 1 14
Direct
0.195 0.390 0.500
0.578 0.155 0.500
0.198 0.396 0.000
0.742 0.484 0.000
0.694 0.857 0.500
0.696 0.866 0.000
0.163 0.857 0.500
0.170 0.866 0.000
0.826 0.157 0.775
0.826 0.157 0.225
0.331 0.157 0.775
0.331 0.157 0.225
0.351 0.703 0.762
0.351 0.703 0.238
0.774 0.548 0.679
0.774 0.548 0.321
```

***

(5)
Rb2Ga2Hg | PBE | optimized geometry

Calculated values
energy of formation from the pure elements = -0.014 eV per atom
SG = I4/mmm, No. 139
V = 36.329 Å³/atom
polymorph energy (0 for the lowest one) = 0.000 eV/atom

```
Rb2Ga2Hg
1.0
-2.825 2.642 -0.662
-2.718 -2.678 0.914
-2.279 3.339 11.424
Ga Hg Rb
2 1 2
Direct
0.750 0.250 0.500
0.250 0.750 0.500
0.000 0.000 0.000
0.389 0.389 0.223
0.611 0.611 0.777
```

***

(6)
RbGaHg6 | PBE | optimized geometry

Calculated values
energy of formation from the pure elements = -0.084 eV per atom
SG = R-3m, No. 166
V = 29.980 Å³/atom

```
RbGaHg6
1.0
4.814 0.000 1.474
2.182 4.292 1.474
-0.816 -0.500 11.265
Rb Ga Hg
1 1 6
Direct
0.500 0.500 0.500
0.000 0.000 0.000
0.638 0.638 0.087
0.100 0.100 0.700
0.900 0.900 0.300
0.362 0.362 0.913
0.259 0.259 0.224
0.741 0.741 0.776
```

***

(7)
Rb2GaHg | PBE | optimized geometry

Calculated values
energy of formation from the pure elements = 0.159 eV per atom
SG = I-42d, No. 122
V = 43.645 Å³/atom
polymorph energy (0 for the lowest one) = 0.060 eV/atom

```
Rb2GaHg
1.0
9.905 0.000 0.000
0.000 9.905 0.000
4.952 4.952 3.559
Ga Hg Rb
2 2 4
Direct
0.500 0.500 0.000
0.250 0.750 0.500
0.000 0.000 0.000
0.750 0.250 0.500
0.628 0.125 0.250
0.122 0.625 0.250
0.375 0.372 0.750
0.875 0.878 0.750
```

***

(8)
Rb2Ga2Hg | PBE | optimized geometry

Calculated values
energy of formation from the pure elements = 0.071 eV per atom
SG = I4/mmm, No. 139
V = 40.791 Å³/atom
polymorph energy (0 for the lowest one) = 0.085 eV/atom

```
Rb2Ga2Hg
1.0
-5.577 0.263 4.411
-1.649 -6.713 -1.685
-1.292 -4.552 4.376
Ga Hg Rb
2 1 2
Direct
0.349 0.349 0.301
0.651 0.651 0.699
0.000 0.000 0.000
0.750 0.250 0.500
0.250 0.750 0.500
```

***

Copy entry 8 word for word.
Rb2Ga2Hg | PBE | optimized geometry

Calculated values
energy of formation from the pure elements = 0.071 eV per atom
SG = I4/mmm, No. 139
V = 40.791 Å³/atom
polymorph energy (0 for the lowest one) = 0.085 eV/atom

```
Rb2Ga2Hg
1.0
-5.577 0.263 4.411
-1.649 -6.713 -1.685
-1.292 -4.552 4.376
Ga Hg Rb
2 1 2
Direct
0.349 0.349 0.301
0.651 0.651 0.699
0.000 0.000 0.000
0.750 0.250 0.500
0.250 0.750 0.500
```

***

What is the formula in the fourth record?
RbGaHg14